(1)
Material: ZrSbW2
Method: DFT, PBE
State: optimized geometry

abc: 3.013 3.013 8.933
angles: 90.00 90.00 110.00
Atoms (fractional coordinates):
Sb (0.500, 0.500, 0.750)
W (0.000, 0.000, 0.996)
W (0.000, 0.000, 0.504)
Zr (0.500, 0.500, 0.250)

Spin magnetization (μB/f.u.): 0.00
Calculated total energy (eV per atom): -9.166
Formation energy from raw total energies (kJ/mol of formula units): 184.7
SG: Cmmm, No. 65

***

(2)
Material: Zr2SbW
Method: DFT, PBE
State: optimized geometry

abc: 4.621 4.621 3.805
angles: 90.00 90.00 90.00
Atoms (fractional coordinates):
Sb (0.500, 0.000, 0.500)
W (0.000, 0.500, 0.500)
Zr (0.000, 0.000, 0.000)
Zr (0.500, 0.500, 0.000)

Spin magnetization (μB/f.u.): 0.00
Calculated total energy (eV per atom): -8.707
Formation energy from raw total energies (kJ/mol of formula units): -63.4
SG: P4/mmm, No. 123

***

(3)
Material: Zr2SbW
Method: DFT, PBE
State: optimized geometry

abc: 3.616 3.616 6.270
angles: 90.00 90.00 90.00
Atoms (fractional coordinates):
Sb (0.000, 0.000, 0.511)
W (0.500, 0.500, 0.743)
Zr (0.000, 0.000, 0.987)
Zr (0.500, 0.500, 0.260)

Spin magnetization (μB/f.u.): 0.00
Calculated total energy (eV per atom): -8.571
Formation energy from raw total energies (kJ/mol of formula units): -10.7
SG: P4mm, No. 99

***

(4)
Material: ZrSb2W
Method: DFT, PBE
State: optimized geometry

abc: 9.411 9.411 9.411
angles: 20.73 20.73 20.73
Atoms (fractional coordinates):
Sb (0.006, 0.006, 0.006)
Sb (0.237, 0.237, 0.237)
W (0.499, 0.499, 0.499)
Zr (0.758, 0.758, 0.758)

Spin magnetization (μB/f.u.): 0.00
Calculated total energy (eV per atom): -7.270
Formation energy from raw total energies (kJ/mol of formula units): 64.4
Energy above the lowest structure with this stoichiometry (meV/atom): 231
SG: R3m, No. 160